Entry from Alexandria via LeMat-Bulk: crystalline Na3Tl2InI6 at its relaxed geometry (PBE).

CIF file:
```
data_Na3Tl2InI6
_chemical_formula_sum 'Na6 Tl4 In2 I12'
_cell_length_a 21.122
_cell_length_b 4.774
_cell_length_c 9.710
_cell_angle_alpha 90.00
_cell_angle_beta 104.69
_cell_angle_gamma 90.00
_symmetry_space_group_name_H-M 'C 1 2/m 1'
_symmetry_Int_Tables_number 12
loop_
_symmetry_equiv_pos_as_xyz
'x,y,z'
'-x,-y,-z'
'-x,y,-z'
'x,-y,z'
'x+1/2,y+1/2,z'
'-x+1/2,-y+1/2,-z'
'-x+1/2,y+1/2,-z'
'x+1/2,-y+1/2,z'
loop_
_atom_site_label
_atom_site_fract_x
_atom_site_fract_y
_atom_site_fract_z
Na1 0.000 0.000 0.000
Na2 0.167 0.500 0.332
Tl1 0.166 0.500 0.832
In1 0.000 0.000 0.500
I1 0.006 0.500 0.237
I2 0.161 0.000 0.097
I3 0.172 0.000 0.568
```

## Properties
- uncorrected energy (hartree per atom) = -0.0972



Entry from Alexandria via LeMat-Bulk: crystalline NaTl3In2I6 at its relaxed geometry (PBE).

CIF file:
```
data_NaTl3In2I6
_chemical_formula_sum 'Na2 Tl6 In4 I12'
_cell_length_a 8.565
_cell_length_b 14.785
_cell_length_c 8.537
_cell_angle_alpha 90.00
_cell_angle_beta 109.48
_cell_angle_gamma 90.00
_symmetry_space_group_name_H-M 'C 1 2/m 1'
_symmetry_Int_Tables_number 12
loop_
_symmetry_equiv_pos_as_xyz
'x,y,z'
'-x,-y,-z'
'-x,y,-z'
'x,-y,z'
'x+1/2,y+1/2,z'
'-x+1/2,-y+1/2,-z'
'-x+1/2,y+1/2,-z'
'x+1/2,-y+1/2,z'
loop_
_atom_site_label
_atom_site_fract_x
_atom_site_fract_y
_atom_site_fract_z
Na1 0.000 0.000 0.000
Tl1 0.000 0.169 0.500
Tl2 0.000 0.500 0.500
In1 0.000 0.334 0.000
I1 0.237 0.159 0.236
I2 0.238 0.000 0.756
```

## Properties
- uncorrected energy (hartree per atom) = -0.0964



Entry from Alexandria via LeMat-Bulk: crystalline NaTl2InI6 at its relaxed geometry (PBE).

CIF file:
```
data_NaTl2InI6
_chemical_formula_sum 'Na3 Tl6 In3 I18'
_cell_length_a 8.4792
_cell_length_b 8.4792
_cell_length_c 20.7717
_cell_angle_alpha 90.00
_cell_angle_beta 90.00
_cell_angle_gamma 120.00
_symmetry_space_group_name_H-M 'R 3'
_symmetry_Int_Tables_number 146
_symmetry_space_group_name_Hall 'R 3'
loop_
_atom_site_label
_atom_site_fract_x
_atom_site_fract_y
_atom_site_fract_z
Na1 0.0000 0.0000 0.0000
Tl1 0.0000 0.0000 0.2103
Tl2 0.0000 0.0000 0.7204
In1 0.0000 0.0000 0.5086
I1 0.0305 0.6165 0.2615
I2 0.0832 0.3488 0.0958
```

## Properties
- uncorrected energy (hartree per atom) = -0.0914



Entry from Alexandria via LeMat-Bulk: crystalline Na3Tl3InI8 at its relaxed geometry (PBE).

CIF file:
```
data_Na3Tl3InI8
_chemical_formula_sum 'Na6 Tl6 In2 I16'
_cell_length_a 16.312
_cell_length_b 9.411
_cell_length_c 9.790
_cell_angle_alpha 90.00
_cell_angle_beta 123.77
_cell_angle_gamma 90.00
_symmetry_space_group_name_H-M 'C 1 2/m 1'
_symmetry_Int_Tables_number 12
loop_
_symmetry_equiv_pos_as_xyz
'x,y,z'
'-x,-y,-z'
'-x,y,-z'
'x,-y,z'
'x+1/2,y+1/2,z'
'-x+1/2,-y+1/2,-z'
'-x+1/2,y+1/2,-z'
'x+1/2,-y+1/2,z'
loop_
_atom_site_label
_atom_site_fract_x
_atom_site_fract_y
_atom_site_fract_z
Na1 0.000 0.000 0.000
Na2 0.250 0.250 0.000
Tl1 0.000 0.500 0.500
Tl2 0.250 0.250 0.500
In1 0.000 0.500 0.000
I1 0.009 0.255 0.782
I2 0.236 0.500 0.218
I3 0.241 0.000 0.224
```

## Properties
- uncorrected energy (hartree per atom) = -0.0949